Record 1
Density functional theory data (PBE-GGA) for a relaxed structure of La8Pt6Cl.

For the calculated total energy, the calculation gives -6.2441 eV/atom. The density of states at the Fermi level is 1.03 states/eV per atom.

The structure belongs to space group P-3 (No. 147); the cell edges are 9.5198, 9.5198 and 5.3351 Å and the angles 90.00°, 90.00° and 120.00°. Symmetry generates all atoms from La at (0.0637, 0.7521, 0.2534), La at (0.3333, 0.6667, 0.7623), Pt at (0.0140, 0.4152, 0.2465) and Cl at (0.0000, 0.0000, 0.0000).

Record 2
Density functional theory data (PBE-GGA) for a relaxed structure of LaPtCl2.

The value obtained for the energy above the lowest structure with this stoichiometry is 468 meV/atom. For the calculated total energy, the calculation gives -4.4625 eV/atom. The density of states at the Fermi level is 0.97 states/eV per atom.

The structure belongs to space group R-3m (No. 166, hexagonal axes); the cell edges are 3.6721, 3.6721 and 25.7637 Å and the angles 90.00°, 90.00° and 120.00°. Symmetry generates all atoms from La at (0.0000, 0.0000, 0.0000), Pt at (0.0000, 0.0000, 0.5000) and Cl at (0.0000, 0.0000, 0.4106).

Record 3
Density functional theory data (PBE-GGA) for a relaxed structure of La2PtCl.

The value obtained for the energy above the lowest structure with this stoichiometry is 31 meV/atom. For the calculated total energy, the calculation gives -5.8491 eV/atom. The density of states at the Fermi level is 0.93 states/eV per atom.

The structure belongs to space group R3m (No. 160, hexagonal axes); the cell edges are 4.2180, 4.2180 and 23.2944 Å and the angles 90.00°, 90.00° and 120.00°. Symmetry generates all atoms from La at (0.0000, 0.0000, 0.0000), La at (0.0000, 0.0000, 0.1949), Pt at (0.0000, 0.0000, 0.5977) and Cl at (0.0000, 0.0000, 0.4277).